# TmPu2S3

A relaxed TmPu2S3 crystal (PBE, the Alexandria database).

Cell lengths 3.8910, 3.8910, 19.5734 Å; angles 90.00, 90.00, 120.00 degrees
With the nearest neighbours (Å) after each atom.
Atoms (fractional coordinates):
Tm  0.0000  0.0000  0.2500  6 S 2.76
Tm  0.0000  0.0000  0.7500  6 S 2.76
Pu  0.3333  0.6667  0.0850  6 S 2.77-2.80
Pu  0.3333  0.6667  0.4150  6 S 2.77-2.80
Pu  0.6667  0.3333  0.5850  6 S 2.77-2.80
Pu  0.6667  0.3333  0.9150  6 S 2.77-2.80
S  0.0000  0.0000  0.0000  6 Pu 2.80
S  0.0000  0.0000  0.5000  6 Pu 2.80
S  0.3333  0.6667  0.6677  3 Tm 2.76, 3 Pu 2.77
S  0.3333  0.6667  0.8323  3 Tm 2.76, 3 Pu 2.77
S  0.6667  0.3333  0.1677  3 Tm 2.76, 3 Pu 2.77
S  0.6667  0.3333  0.3323  3 Tm 2.76, 3 Pu 2.77

Results
**Total magnetization**: 22.26 μB/cell
**Formation energy without anion corrections**: -1.8027 eV/atom
**Symmetry**: P6_3/mmc (194)
**DOS(E_F)**: 32.88 states/eV/cell